Record 1
## AcLaPr6Dy2 (PBE-GGA)

Data for a geometry-optimized AcLaPr6Dy2 structure.

The space group is C2/c (No. 15) and the conventional cell measures 9.462, 15.660 and 10.000 Å, with angles of 90.00, 96.88 and 90.00 degrees. The inequivalent atoms are Ac at (0.000, 0.030, 0.250), La at (0.000, 0.407, 0.750), Pr at (0.068, 0.181, 0.945), Pr at (0.098, 0.394, 0.121), Pr at (0.212, 0.231, 0.321) and Dy at (0.250, 0.053, 0.546).

The calculation puts the volume at 36.78 Å³/atom. The magnetic moment comes out at 0.0 μB/f.u. For the calculated total energy, the calculation gives -0.1683 hartree per atom. The density is 6.94 g cm⁻³.

***

Record 2
## Cs3DyPu2Se6 (PBE-GGA)

Data for a geometry-optimized Cs3DyPu2Se6 structure.

The space group is C2/m (No. 12) and the conventional cell measures 7.481, 12.957 and 8.717 Å, with angles of 90.00, 106.62 and 90.00 degrees. The inequivalent atoms are Cs at (0.000, 0.000, 0.000), Cs at (0.000, 0.333, 0.000), Dy at (0.000, 0.500, 0.500), Pu at (0.000, 0.167, 0.500), Se at (0.227, 0.335, 0.685) and Se at (0.231, 0.000, 0.685).

The calculation puts the volume at 33.74 Å³/atom. The magnetic moment comes out at 10.0 μB/f.u. For the calculated total energy, the calculation gives -0.2298 hartree per atom. As for the energy relative to the elements, uncorrected: -1.5241 eV/atom. The density is 6.25 g cm⁻³.

***

Record 3
## NaCoMo3 (PBE-GGA)

Data for a geometry-optimized NaCoMo3 structure.

The space group is Pm-3m (No. 221) and the conventional cell measures 4.550, 4.550 and 4.550 Å, with angles of 90.00, 90.00 and 90.00 degrees. The inequivalent atoms are Na at (0.000, 0.000, 0.000), Co at (0.500, 0.500, 0.500) and Mo at (0.000, 0.500, 0.500).

The calculation puts the volume at 18.84 Å³/atom. The magnetic moment comes out at 0.0 μB/f.u. The value obtained for the energy above the most stable polymorph in this dataset is 0 meV per atom. For the calculated total energy, the calculation gives -0.2498 hartree per atom. The density is 6.52 g cm⁻³.

***

Record 4
## Rb2RhSCl6 (PBE-GGA)

Data for a geometry-optimized Rb2RhSCl6 structure.

The space group is I4/mmm (No. 139) and the conventional cell measures 7.828, 7.828 and 9.094 Å, with angles of 90.00, 90.00 and 90.00 degrees. The inequivalent atoms are Rb at (0.000, 0.500, 0.250), Rh at (0.000, 0.000, 0.000), S at (0.000, 0.000, 0.500), Cl at (0.000, 0.000, 0.257) and Cl at (0.216, 0.216, 0.000).

The calculation puts the volume at 27.86 Å³/atom. The magnetic moment comes out at 1.0 μB/f.u. For the calculated total energy, the calculation gives -0.1215 hartree per atom. As for the energy relative to the elements, uncorrected: -0.8557 eV/atom. The density is 3.09 g cm⁻³.

***

Record 5
## ZrAuIN2 (PBE-GGA)

Data for a geometry-optimized ZrAuIN2 structure.

The space group is P4/mmm (No. 123) and the conventional cell measures 4.199, 4.199 and 5.355 Å, with angles of 90.00, 90.00 and 90.00 degrees. The inequivalent atoms are Zr at (0.000, 0.000, 0.000), Au at (0.500, 0.500, 0.500), I at (0.500, 0.500, 0.000) and N at (0.000, 0.500, 0.500).

The calculation puts the volume at 18.88 Å³/atom. The magnetic moment comes out at 0.0 μB/f.u. The value obtained for the energy above the most stable polymorph in this dataset is 1197 meV per atom. For the calculated total energy, the calculation gives -0.1583 hartree per atom. As for the energy relative to the elements, uncorrected: 1.6986 eV/atom. The density is 7.79 g cm⁻³.

***

Record 6
## RbInPb (PBE-GGA)

Data for a geometry-optimized RbInPb structure.

The space group is Pm (No. 6) and the conventional cell measures 7.084, 4.702 and 7.395 Å, with angles of 90.00, 91.46 and 90.00 degrees. The inequivalent atoms are Rb at (0.000, 0.000, 0.000), Rb at (0.474, 0.500, 0.194), In at (0.383, 0.000, 0.617), In at (0.773, 0.000, 0.458), Pb at (0.074, 0.500, 0.538) and Pb at (0.678, 0.500, 0.744).

The calculation puts the volume at 41.04 Å³/atom. The magnetic moment comes out at 0.0 μB/f.u. For the calculated total energy, the calculation gives -0.0928 hartree per atom. The density is 5.50 g cm⁻³.

***

Record 7
## PtIBr4 (PBE-GGA)

Data for a geometry-optimized PtIBr4 structure.

The space group is C2/m (No. 12) and the conventional cell measures 18.911, 7.176 and 7.009 Å, with angles of 90.00, 94.51 and 90.00 degrees. The inequivalent atoms are Pt at (0.062, 0.000, 0.215), I at (0.206, 0.500, 0.196), Br at (0.000, 0.233, 0.000), Br at (0.107, 0.240, 0.435) and Br at (0.188, 0.000, 0.022).

The calculation puts the volume at 39.51 Å³/atom. The magnetic moment comes out at 0.0 μB/f.u. For the calculated total energy, the calculation gives -0.0910 hartree per atom. As for the energy relative to the elements, uncorrected: -0.0963 eV/atom. The density is 4.49 g cm⁻³.

***

Record 8
## Cu4Pd2Au5 (PBE-GGA)

Data for a geometry-optimized Cu4Pd2Au5 structure.

The space group is P-1 (No. 2) and the conventional cell measures 4.788, 4.909 and 7.460 Å, with angles of 88.08, 83.47 and 78.66 degrees. The inequivalent atoms are Cu at (0.046, 0.405, 0.314), Cu at (0.321, 0.861, 0.224), Pd at (0.420, 0.679, 0.858), Au at (0.139, 0.227, 0.956), Au at (0.213, 0.060, 0.592) and Au at (0.500, 0.500, 0.500).

The calculation puts the volume at 15.53 Å³/atom. The magnetic moment comes out at 0.0 μB/f.u. The value obtained for the energy above the most stable polymorph in this dataset is 0 meV per atom. For the calculated total energy, the calculation gives -0.1464 hartree per atom. The density is 14.11 g cm⁻³.